# 1
A plane-wave DFT calculation with PBE was carried out for crystalline Ba2MgPb7 at its relaxed geometry. Values from VASP.

Structure (Quantum ESPRESSO input):
```
&SYSTEM
  ibrav = 0, nat = 10, ntyp = 3
/
ATOMIC_SPECIES
Ba 137.33 Ba.upf
Mg 24.30 Mg.upf
Pb 207.20 Pb.upf
CELL_PARAMETERS angstrom
5.054 0.000 0.000
0.000 5.054 0.000
0.000 0.000 14.177
ATOMIC_POSITIONS crystal
Ba 0.000 0.500 0.237
Ba 0.500 0.000 0.763
Mg 0.500 0.500 0.000
Pb 0.000 0.000 0.000
Pb 0.000 0.000 0.500
Pb 0.000 0.500 0.649
Pb 0.000 0.500 0.867
Pb 0.500 0.000 0.133
Pb 0.500 0.000 0.351
Pb 0.500 0.500 0.500
```

Values from the calculation:
- ΔH_f (0 K) (eV/atom) = -0.260
- crystal system = tetragonal
- uncorrected energy (eV/atom) = -3.3994

# 2
A plane-wave DFT calculation with PBE was carried out for crystalline Ti2Zn2Ga at its relaxed geometry. Values from VASP.

Structure (Quantum ESPRESSO input):
```
&SYSTEM
  ibrav = 0, nat = 10, ntyp = 3
/
ATOMIC_SPECIES
Ti 47.87 Ti.upf
Zn 65.41 Zn.upf
Ga 69.72 Ga.upf
CELL_PARAMETERS angstrom
3.285 -5.412 0.000
3.285 5.412 0.000
-1.520 0.000 4.689
ATOMIC_POSITIONS crystal
Ti 0.200 0.800 0.750
Ti 0.296 0.704 0.250
Ti 0.704 0.296 0.750
Ti 0.800 0.200 0.250
Zn 0.114 0.238 0.921
Zn 0.238 0.114 0.421
Zn 0.762 0.886 0.579
Zn 0.886 0.762 0.079
Ga 0.436 0.564 0.750
Ga 0.564 0.436 0.250
```

Values from the calculation:
- ΔH_f (0 K) (eV/atom) = 0.068
- crystal system = monoclinic
- uncorrected energy (eV/atom) = -4.2046

# 3
A plane-wave DFT calculation with PBE was carried out for crystalline LiPuIrOs at its relaxed geometry. Values from VASP.

Structure (Quantum ESPRESSO input):
```
&SYSTEM
  ibrav = 0, nat = 16, ntyp = 4
/
ATOMIC_SPECIES
Li 6.94 Li.upf
Pu 244.00 Pu.upf
Ir 192.22 Ir.upf
Os 190.23 Os.upf
CELL_PARAMETERS angstrom
6.387 0.000 0.000
0.000 6.387 0.000
0.000 0.000 6.387
ATOMIC_POSITIONS crystal
Li 0.000 0.000 0.000
Li 0.000 0.500 0.500
Li 0.500 0.000 0.500
Li 0.500 0.500 0.000
Pu 0.000 0.000 0.500
Pu 0.000 0.500 0.000
Pu 0.500 0.000 0.000
Pu 0.500 0.500 0.500
Ir 0.250 0.250 0.750
Ir 0.250 0.750 0.250
Ir 0.750 0.250 0.250
Ir 0.750 0.750 0.750
Os 0.250 0.250 0.250
Os 0.250 0.750 0.750
Os 0.750 0.250 0.750
Os 0.750 0.750 0.250
```

Values from the calculation:
- ΔH_f (0 K) (eV/atom) = -0.052
- crystal system = cubic
- uncorrected energy (eV/atom) = -9.1360

# 4
A plane-wave DFT calculation with PBE was carried out for crystalline Ba7Bi3O2 at its relaxed geometry. Values from VASP.

Structure (Quantum ESPRESSO input):
```
&SYSTEM
  ibrav = 0, nat = 12, ntyp = 3
/
ATOMIC_SPECIES
Ba 137.33 Ba.upf
Bi 208.98 Bi.upf
O 16.00 O.upf
CELL_PARAMETERS angstrom
-2.716 2.716 14.956
2.716 -2.716 14.956
2.716 2.716 -14.956
ATOMIC_POSITIONS crystal
Ba 0.000 0.000 0.000
Ba 0.096 0.596 0.500
Ba 0.202 0.202 0.000
Ba 0.404 0.904 0.500
Ba 0.596 0.096 0.500
Ba 0.798 0.798 0.000
Ba 0.904 0.404 0.500
Bi 0.321 0.321 0.000
Bi 0.500 0.500 0.000
Bi 0.679 0.679 0.000
O 0.091 0.091 0.000
O 0.909 0.909 0.000
```

Values from the calculation:
- uncorrected formation energy (eV/atom) = -1.430
- crystal system = tetragonal
- uncorrected energy (eV/atom) = -4.3479

# 5
A plane-wave DFT calculation with PBE was carried out for crystalline NpZnSb2 at its relaxed geometry. Values from VASP.

Structure (Quantum ESPRESSO input):
```
&SYSTEM
  ibrav = 0, nat = 12, ntyp = 3
/
ATOMIC_SPECIES
Np 237.00 Np.upf
Zn 65.41 Zn.upf
Sb 121.76 Sb.upf
CELL_PARAMETERS angstrom
3.175 0.000 0.000
-1.588 2.750 0.000
0.000 0.000 34.230
ATOMIC_POSITIONS crystal
Np 0.000 0.000 0.000
Np 0.333 0.667 0.667
Np 0.667 0.333 0.333
Zn 0.000 0.000 0.500
Zn 0.333 0.667 0.167
Zn 0.667 0.333 0.833
Sb 0.000 0.000 0.413
Sb 0.000 0.000 0.587
Sb 0.333 0.667 0.080
Sb 0.333 0.667 0.253
Sb 0.667 0.333 0.747
Sb 0.667 0.333 0.920
```

Values from the calculation:
- uncorrected formation energy (eV/atom) = 0.187
- crystal system = trigonal
- uncorrected energy (eV/atom) = -5.4276

# 6
A plane-wave DFT calculation with PBE was carried out for crystalline CaCrIn at its relaxed geometry. Values from VASP.

Structure (Quantum ESPRESSO input):
```
&SYSTEM
  ibrav = 0, nat = 12, ntyp = 3
/
ATOMIC_SPECIES
Ca 40.08 Ca.upf
Cr 52.00 Cr.upf
In 114.82 In.upf
CELL_PARAMETERS angstrom
7.157 0.000 0.000
0.000 7.157 0.000
0.000 0.000 7.157
ATOMIC_POSITIONS crystal
Ca 0.000 0.000 0.000
Ca 0.000 0.500 0.500
Ca 0.500 0.000 0.500
Ca 0.500 0.500 0.000
Cr 0.250 0.250 0.250
Cr 0.250 0.750 0.750
Cr 0.750 0.250 0.750
Cr 0.750 0.750 0.250
In 0.250 0.250 0.750
In 0.250 0.750 0.250
In 0.750 0.250 0.250
In 0.750 0.750 0.750
```

Values from the calculation:
- ΔH_f (0 K) (eV/atom) = 0.761
- crystal system = cubic
- uncorrected energy (eV/atom) = -4.0271

# 7
A plane-wave DFT calculation with PBE was carried out for crystalline La6SmCd3 at its relaxed geometry. Values from VASP.

Structure (Quantum ESPRESSO input):
```
&SYSTEM
  ibrav = 0, nat = 20, ntyp = 3
/
ATOMIC_SPECIES
La 138.91 La.upf
Sm 150.36 Sm.upf
Cd 112.41 Cd.upf
CELL_PARAMETERS angstrom
6.615 -7.146 0.000
6.615 7.146 0.000
0.000 0.000 7.012
ATOMIC_POSITIONS crystal
La 0.004 0.436 0.872
La 0.077 0.923 0.500
La 0.263 0.305 0.191
La 0.297 0.703 0.197
La 0.305 0.263 0.691
La 0.436 0.004 0.372
La 0.564 0.996 0.872
La 0.695 0.737 0.191
La 0.703 0.297 0.697
La 0.737 0.695 0.691
La 0.923 0.077 0.000
La 0.996 0.564 0.372
Sm 0.309 0.691 0.710
Sm 0.691 0.309 0.210
Cd 0.013 0.764 0.961
Cd 0.236 0.987 0.961
Cd 0.497 0.503 0.447
Cd 0.503 0.497 0.947
Cd 0.764 0.013 0.461
Cd 0.987 0.236 0.461
```

Values from the calculation:
- ΔH_f (0 K) (eV/atom) = -0.113
- crystal system = orthorhombic
- uncorrected energy (eV/atom) = -3.8156

# 8
A plane-wave DFT calculation with PBE was carried out for crystalline La2P3 at its relaxed geometry. Values from VASP.

Structure (Quantum ESPRESSO input):
```
&SYSTEM
  ibrav = 0, nat = 15, ntyp = 2
/
ATOMIC_SPECIES
La 138.91 La.upf
P 30.97 P.upf
CELL_PARAMETERS angstrom
4.213 0.000 0.000
-2.106 3.648 0.000
0.000 0.000 22.715
ATOMIC_POSITIONS crystal
La 0.000 0.000 0.089
La 0.000 0.000 0.911
La 0.333 0.667 0.578
La 0.333 0.667 0.755
La 0.667 0.333 0.245
La 0.667 0.333 0.422
P 0.000 0.000 0.331
P 0.000 0.000 0.500
P 0.000 0.000 0.669
P 0.333 0.667 0.167
P 0.333 0.667 0.335
P 0.333 0.667 0.998
P 0.667 0.333 0.002
P 0.667 0.333 0.665
P 0.667 0.333 0.833
```

Values from the calculation:
- ΔH_f (0 K) (eV/atom) = -1.207
- crystal system = trigonal
- uncorrected energy (eV/atom) = -6.4243